1.
Tb4BiS2: relaxed, PBE.

**N(E_F)**: 0.433 states/eV per atom
**Energy relative to the elements, uncorrected**: -1.4125 eV/atom
**Total moment**: 0.00 μB/f.u.
**SG**: Cmcm (63)

Cell lengths 4.1087, 6.8396, 13.4072 Å; angles 90.00, 90.00, 107.48 degrees
Fractional positions:
Tb1 0.5000 0.0000 0.0000
Tb2 0.2389 0.4778 0.6139
Tb3 0.0694 0.1388 0.2500
Tb4 0.7611 0.5222 0.3861
Tb5 0.9306 0.8612 0.7500
Tb6 0.5000 0.0000 0.5000
Tb7 0.2389 0.4778 0.8861
Tb8 0.7611 0.5222 0.1139
S1 0.8685 0.7370 0.9416
S2 0.1315 0.2630 0.4416
S3 0.1315 0.2630 0.0584
S4 0.8685 0.7370 0.5584
Bi1 0.6105 0.2211 0.7500
Bi2 0.3895 0.7789 0.2500


2.
Si2SbPb: relaxed, PBE.

**N(E_F)**: 0.212 states/eV per atom
**Energy relative to the elements, uncorrected**: 0.5522 eV/atom
**Total moment**: 0.00 μB/f.u.
**SG**: P4/mmm (123)

Cell lengths 5.3529, 5.3529, 3.1854 Å; angles 90.00, 90.00, 90.00 degrees
Fractional positions:
Si1 0.0000 0.0000 0.0000
Si2 0.5000 0.5000 0.0000
Sb1 0.0000 0.5000 0.5000
Pb1 0.5000 0.0000 0.5000


3.
Er2Ga2Rh: relaxed, PBE.

**Energy of formation from the pure elements**: -0.777 eV per atom
**N(E_F)**: 0.764 states/eV per atom
**Total moment**: 0.00 μB/f.u.
**SG**: C2/m (12)

Cell lengths 4.0840, 5.7265, 9.7965 Å; angles 81.29, 77.97, 69.11 degrees
Fractional positions:
Ga1 0.0281 0.8345 0.1093
Ga2 0.9719 0.1655 0.8907
Ga3 0.8529 0.7415 0.5526
Ga4 0.1471 0.2585 0.4474
Rh1 0.2156 0.9038 0.6650
Rh2 0.7844 0.0962 0.3350
Er1 0.5051 0.3185 0.6714
Er2 0.3100 0.2585 0.1214
Er3 0.6900 0.7415 0.8786
Er4 0.4949 0.6815 0.3286